Here is a geometry-optimized CaLa2Cd2 structure from Alexandria via LeMat-Bulk. Energies are from GGA-PBE.

```
data_CaLa2Cd2
_cell_length_a 9.1614
_cell_length_b 9.1614
_cell_length_c 3.9028
_cell_angle_alpha 90.00
_cell_angle_beta 90.00
_cell_angle_gamma 90.00
_symmetry_space_group_name_H-M 'P 4/m b m'
_symmetry_Int_Tables_number 127
_symmetry_space_group_name_Hall '-P 4 2ab'
loop_
_atom_site_label
_atom_site_type_symbol
_atom_site_fract_x
_atom_site_fract_y
_atom_site_fract_z
Ca1 Ca 0.0000 0.0000 0.0000
La1 La 0.1681 0.3319 0.5000
Cd1 Cd 0.1273 0.6273 0.0000
```

Output
Energy of formation ... -22.8 kJ per mole of atoms
N(E_F) ... 12.7 states/eV per cell

***

Here is a geometry-optimized CaLa5Cd6 structure from Alexandria via LeMat-Bulk. Energies are from GGA-PBE.

```
data_CaLa5Cd6
_cell_length_a 5.5342
_cell_length_b 16.6246
_cell_length_c 7.8733
_cell_angle_alpha 90.00
_cell_angle_beta 90.00
_cell_angle_gamma 90.00
_symmetry_space_group_name_H-M 'C m m m'
_symmetry_Int_Tables_number 65
_symmetry_space_group_name_Hall '-C 2 2'
loop_
_atom_site_label
_atom_site_type_symbol
_atom_site_fract_x
_atom_site_fract_y
_atom_site_fract_z
Ca1 Ca 0.0000 0.0000 0.0000
La1 La 0.0000 0.0000 0.5000
La2 La 0.0000 0.3300 0.5000
La3 La 0.0000 0.3355 0.0000
Cd1 Cd 0.0000 0.1645 0.2453
Cd2 Cd 0.0000 0.5000 0.2484
```

Output
Energy of formation ... -32.7 kJ per mole of atoms
N(E_F) ... 27.4 states/eV per cell